1.
This record from OQMD describes an optimized crystal structure of NbTlZn2. The functional is PBE.

Properties
**Volume**: 18.61 Å³ per atom
**Uncorrected energy**: -12.9 eV per cell

a b c (Å): 4.722 4.722 4.722
angles (deg): 60.00 60.00 60.00
Fractional positions:
Tl1 0.500 0.500 0.500
Zn1 0.750 0.750 0.750
Zn2 0.000 0.000 0.000
Nb1 0.250 0.250 0.250

---

2.
This record from OQMD describes an optimized crystal structure of ThCdFe. The functional is PBE.

Properties
**Volume**: 22.79 Å³ per atom
**Uncorrected energy**: -15.9 eV per cell
**ΔH_f (0 K)**: 239 meV/atom

a b c (Å): 4.590 4.590 4.590
angles (deg): 60.00 60.00 60.00
Last column: magnetic moment on the atom in μB.
Fractional positions:
Cd1 0.250 0.250 0.250  -0.03
Th1 0.750 0.750 0.750  -0.12
Fe1 0.000 0.000 0.000  0.51

---

3.
This record from OQMD describes an optimized crystal structure of PrPOsO. The functional is PBE.

Properties
**Volume**: 17.17 Å³ per atom
**Energy relative to the lowest polymorph listed for this composition**: 0.000 eV/atom
**Uncorrected energy**: -67.3 eV per cell

a b c (Å): 4.053 4.053 8.363
angles (deg): 90.00 90.00 90.00
Fractional positions:
P1 0.000 0.500 0.643
P2 0.500 0.000 0.357
Os1 0.000 0.000 0.500
Os2 0.500 0.500 0.500
O1 0.000 0.000 0.000
O2 0.500 0.500 0.000
Pr1 0.500 0.000 0.856
Pr2 0.000 0.500 0.144

---

4.
This record from OQMD describes an optimized crystal structure of NdHf2N3. The functional is PBE.

Properties
**Volume**: 13.06 Å³ per atom
**Uncorrected energy**: -59.7 eV per cell

a b c (Å): 3.280 3.280 8.410
angles (deg): 90.00 90.00 120.00
Fractional positions:
Hf1 0.667 0.333 0.160
Hf2 0.333 0.667 0.840
N1 0.000 0.000 0.000
N2 0.667 0.333 0.709
N3 0.333 0.667 0.291
Nd1 0.000 0.000 0.500

---

5.
This record from OQMD describes an optimized crystal structure of NdEr2Cu4Ge4. The functional is PBE.

Properties
**Volume**: 17.96 Å³ per atom
**Uncorrected energy**: -54.1 eV per cell

a b c (Å): 8.042 8.042 8.042
angles (deg): 149.83 130.38 59.18
Fractional positions:
Cu1 0.021 0.832 0.190
Cu2 0.979 0.168 0.810
Cu3 0.642 0.832 0.810
Cu4 0.358 0.168 0.190
Nd1 0.000 0.500 0.500
Er1 0.630 0.630 0.000
Er2 0.370 0.370 0.000
Ge1 0.314 0.000 0.314
Ge2 0.686 0.000 0.686
Ge3 0.219 0.719 0.500
Ge4 0.781 0.281 0.500

---

6.
This record from OQMD describes an optimized crystal structure of DyHgSO. The functional is PBE.

Properties
**Volume**: 22.96 Å³ per atom
**Energy relative to the lowest polymorph listed for this composition**: 0.462 eV/atom
**Uncorrected energy**: -78.2 eV per cell

a b c (Å): 7.902 8.706 5.340
angles (deg): 90.00 90.00 90.00
Fractional positions:
S1 0.401 0.612 0.572
S2 0.099 0.612 0.072
S3 0.901 0.388 0.572
S4 0.599 0.388 0.072
O1 0.524 0.102 0.619
O2 0.476 0.898 0.119
O3 0.976 0.102 0.119
O4 0.024 0.898 0.619
Dy1 0.434 0.670 0.070
Dy2 0.934 0.330 0.070
Dy3 0.066 0.670 0.570
Dy4 0.566 0.330 0.570
Hg1 0.337 0.112 0.989
Hg2 0.163 0.112 0.489
Hg3 0.663 0.888 0.489
Hg4 0.837 0.888 0.989

---

Q: uncorrected energy of number 1 (NbTlZn2)?
A: -12.9 eV per cell

---

Q: Among the records above, which one has the lowest volume?
A: NdHf2N3

---

Q: What is the volume in the first record?
A: 18.61 Å³ per atom